1.
A geometry-optimized SmAg2Ge2 structure, computed with PBEsol.

Output
**Formation energy from the elements**: -463 meV per atom
**Total DFT energy (no corrections)**: -47.8 eV for the cell shown

Structure (CIF):
```
data_SmAg2Ge2
_chemical_formula_sum 'Sm2 Ag4 Ge4'
_cell_length_a 4.191
_cell_length_b 4.191
_cell_length_c 10.978
_cell_angle_alpha 90.00
_cell_angle_beta 90.00
_cell_angle_gamma 90.00
_symmetry_space_group_name_H-M 'I 4/m m m'
_symmetry_Int_Tables_number 139
_symmetry_space_group_name_Hall '-I 4 2'
loop_
_atom_site_label
_atom_site_type_symbol
_atom_site_fract_x
_atom_site_fract_y
_atom_site_fract_z
Sm1 Sm 0.000 0.000 0.000
Ag1 Ag 0.000 0.500 0.250
Ge1 Ge 0.000 0.000 0.390
```



2.
A geometry-optimized As2IrCl structure, computed with PBEsol.

Output
**ΔE_f (raw)**: -219 meV/atom
**Total DFT energy (no corrections)**: -68.8 eV for the cell shown
**Polymorph energy (0 for the lowest one)**: 0 meV/atom

Structure (CIF):
```
data_As2IrCl
_chemical_formula_sum 'As6 Ir3 Cl3'
_cell_length_a 3.8041
_cell_length_b 3.8041
_cell_length_c 21.3645
_cell_angle_alpha 90.00
_cell_angle_beta 90.00
_cell_angle_gamma 120.00
_symmetry_space_group_name_H-M 'R -3 m'
_symmetry_Int_Tables_number 166
_symmetry_space_group_name_Hall '-R 3 2"'
loop_
_atom_site_label
_atom_site_type_symbol
_atom_site_fract_x
_atom_site_fract_y
_atom_site_fract_z
As1 As 0.0000 0.0000 0.1140
Ir1 Ir 0.0000 0.0000 0.5000
Cl1 Cl 0.0000 0.0000 0.0000
```



3.
A geometry-optimized IrAuF2 structure, computed with PBEsol.

Output
**ΔE_f (raw)**: 177 meV/atom
**Total DFT energy (no corrections)**: -67.6 eV for the cell shown

Structure (CIF):
```
data_IrAuF2
_chemical_formula_sum 'Ir4 Au4 F8'
_cell_length_a 6.800
_cell_length_b 6.800
_cell_length_c 5.148
_cell_angle_alpha 90.00
_cell_angle_beta 90.00
_cell_angle_gamma 90.00
_symmetry_space_group_name_H-M 'I -4 2 d'
_symmetry_Int_Tables_number 122
_symmetry_space_group_name_Hall 'I -4 2bw'
loop_
_atom_site_label
_atom_site_type_symbol
_atom_site_fract_x
_atom_site_fract_y
_atom_site_fract_z
Ir1 Ir 0.000 0.000 0.000
Au1 Au 0.000 0.000 0.500
F1 F 0.154 0.250 0.125
```



4.
A geometry-optimized CaNi2P4O14 structure, computed with PBEsol.

Output
**ΔE_f (raw)**: -1917 meV/atom
**Total DFT energy (no corrections)**: -151.4 eV for the cell shown

Structure (CIF):
```
data_CaNi2P4O14
_chemical_formula_sum 'Ca1 Ni2 P4 O14'
_cell_length_a 6.081
_cell_length_b 6.082
_cell_length_c 7.073
_cell_angle_alpha 66.08
_cell_angle_beta 86.60
_cell_angle_gamma 82.80
_symmetry_space_group_name_H-M 'P 1'
_symmetry_Int_Tables_number 1
loop_
_symmetry_equiv_pos_as_xyz
'x,y,z'
loop_
_atom_site_label
_atom_site_type_symbol
_atom_site_fract_x
_atom_site_fract_y
_atom_site_fract_z
Ca1 Ca 0.000 0.000 0.000
Ni1 Ni 0.161 0.282 0.299
Ni2 Ni 0.437 0.434 0.863
P1 P 0.200 0.698 0.435
P2 P 0.409 0.016 0.721
P3 P 0.672 0.154 0.318
P4 P 0.925 0.569 0.826
O1 O 0.131 0.393 0.945
O2 O 0.142 0.604 0.274
O3 O 0.192 0.148 0.607
O4 O 0.201 0.971 0.296
O5 O 0.383 0.750 0.858
O6 O 0.407 0.572 0.560
O7 O 0.459 0.116 0.881
O8 O 0.460 0.320 0.205
O9 O 0.602 0.035 0.559
O10 O 0.742 0.958 0.246
O11 O 0.754 0.393 0.849
O12 O 0.848 0.319 0.309
O13 O 0.851 0.768 0.891
O14 O 0.994 0.677 0.589
```



5.
A geometry-optimized K3BaAs structure, computed with PBEsol.

Output
**Formation energy from the elements**: 22 meV per atom
**Total DFT energy (no corrections)**: -10.5 eV for the cell shown

Structure (CIF):
```
data_K3BaAs
_chemical_formula_sum 'K3 Ba1 As1'
_cell_length_a 6.455
_cell_length_b 6.455
_cell_length_c 6.455
_cell_angle_alpha 90.00
_cell_angle_beta 90.00
_cell_angle_gamma 90.00
_symmetry_space_group_name_H-M 'P m -3 m'
_symmetry_Int_Tables_number 221
_symmetry_space_group_name_Hall '-P 4 2 3'
loop_
_atom_site_label
_atom_site_type_symbol
_atom_site_fract_x
_atom_site_fract_y
_atom_site_fract_z
K1 K 0.000 0.000 0.500
Ba1 Ba 0.500 0.500 0.500
As1 As 0.000 0.000 0.000
```



6.
A geometry-optimized BeHgAu2 structure, computed with PBEsol.

Output
**Formation energy from the elements**: 26 meV per atom
**Total DFT energy (no corrections)**: -12.3 eV for the cell shown
**Polymorph energy (0 for the lowest one)**: 112 meV/atom

Structure (CIF):
```
data_BeHgAu2
_chemical_formula_sum 'Be1 Hg1 Au2'
_cell_length_a 3.065
_cell_length_b 3.065
_cell_length_c 6.771
_cell_angle_alpha 90.00
_cell_angle_beta 90.00
_cell_angle_gamma 90.00
_symmetry_space_group_name_H-M 'P 4 m m'
_symmetry_Int_Tables_number 99
loop_
_symmetry_equiv_pos_as_xyz
'x,y,z'
'-y,x,z'
'-x,-y,z'
'y,-x,z'
'-x,y,z'
'y,x,z'
'x,-y,z'
'-y,-x,z'
loop_
_atom_site_label
_atom_site_type_symbol
_atom_site_fract_x
_atom_site_fract_y
_atom_site_fract_z
Be1 Be 0.000 0.000 0.000
Hg1 Hg 0.500 0.500 0.276
Au1 Au 0.000 0.000 0.568
Au2 Au 0.500 0.500 0.852
```



7.
A geometry-optimized BaCr2Rh2 structure, computed with PBEsol.

Output
**Formation energy from the elements**: 430 meV per atom
**Total DFT energy (no corrections)**: -73.5 eV for the cell shown

Structure (CIF):
```
data_BaCr2Rh2
_chemical_formula_sum 'Ba2 Cr4 Rh4'
_cell_length_a 4.430
_cell_length_b 4.430
_cell_length_c 8.918
_cell_angle_alpha 90.00
_cell_angle_beta 90.00
_cell_angle_gamma 90.00
_symmetry_space_group_name_H-M 'I 4/m m m'
_symmetry_Int_Tables_number 139
_symmetry_space_group_name_Hall '-I 4 2'
loop_
_atom_site_label
_atom_site_type_symbol
_atom_site_fract_x
_atom_site_fract_y
_atom_site_fract_z
Ba1 Ba 0.000 0.000 0.000
Cr1 Cr 0.000 0.000 0.389
Rh1 Rh 0.000 0.500 0.250
```



8.
A geometry-optimized CaCl2 structure, computed with PBEsol.

Output
**ΔE_f (raw)**: -2315 meV/atom
**Total DFT energy (no corrections)**: -52.4 eV for the cell shown

Structure (CIF):
```
data_CaCl2
_chemical_formula_sum 'Ca4 Cl8'
_cell_length_a 4.073
_cell_length_b 17.802
_cell_length_c 5.343
_cell_angle_alpha 90.00
_cell_angle_beta 90.00
_cell_angle_gamma 90.00
_symmetry_space_group_name_H-M 'C m c m'
_symmetry_Int_Tables_number 63
_symmetry_space_group_name_Hall '-C 2c 2'
loop_
_atom_site_label
_atom_site_type_symbol
_atom_site_fract_x
_atom_site_fract_y
_atom_site_fract_z
Ca1 Ca 0.000 0.171 0.250
Cl1 Cl 0.000 0.215 0.750
Cl2 Cl 0.000 0.419 0.750
```



9.
A geometry-optimized NdP2H9O10 structure, computed with PBEsol.

Output
**Total DFT energy (no corrections)**: -540.9 eV for the cell shown

Structure (CIF):
```
data_NdP2H9O10
_chemical_formula_sum 'Nd4 P8 H36 O40'
_cell_length_a 10.080
_cell_length_b 11.609
_cell_length_c 7.197
_cell_angle_alpha 90.00
_cell_angle_beta 90.00
_cell_angle_gamma 90.00
_symmetry_space_group_name_H-M 'P n n a'
_symmetry_Int_Tables_number 52
loop_
_symmetry_equiv_pos_as_xyz
'x,y,z'
'-x,-y,-z'
'-x+1/2,-y,z'
'x+1/2,y,-z'
'x,-y+1/2,-z+1/2'
'-x,y+1/2,z+1/2'
'-x+1/2,y+1/2,-z+1/2'
'x+1/2,-y+1/2,z+1/2'
loop_
_atom_site_label
_atom_site_type_symbol
_atom_site_fract_x
_atom_site_fract_y
_atom_site_fract_z
Nd1 Nd 0.244 0.250 0.250
P1 P 0.031 0.070 0.591
H1 H 0.050 0.745 0.552
H2 H 0.123 0.013 0.162
H3 H 0.130 0.070 0.960
H4 H 0.140 0.643 0.626
H5 H 0.250 0.000 0.705
O1 O 0.088 0.167 0.471
O2 O 0.094 0.603 0.199
O3 O 0.134 0.018 0.730
O4 O 0.134 0.088 0.095
O5 O 0.142 0.713 0.550
```



10.
A geometry-optimized BaLiCl2 structure, computed with PBEsol.

Output
**ΔE_f (raw)**: -1530 meV/atom
**Total DFT energy (no corrections)**: -28.5 eV for the cell shown
**Polymorph energy (0 for the lowest one)**: 110 meV/atom

Structure (CIF):
```
data_BaLiCl2
_chemical_formula_sum 'Ba2 Li2 Cl4'
_cell_length_a 5.188
_cell_length_b 5.188
_cell_length_c 7.678
_cell_angle_alpha 90.00
_cell_angle_beta 90.00
_cell_angle_gamma 90.00
_symmetry_space_group_name_H-M 'I 4/m m m'
_symmetry_Int_Tables_number 139
_symmetry_space_group_name_Hall '-I 4 2'
loop_
_atom_site_label
_atom_site_type_symbol
_atom_site_fract_x
_atom_site_fract_y
_atom_site_fract_z
Ba1 Ba 0.000 0.000 0.000
Li1 Li 0.000 0.000 0.500
Cl1 Cl 0.000 0.500 0.250
```



11.
A geometry-optimized TiP3C structure, computed with PBEsol.

Output
**Formation energy from the elements**: 619 meV per atom
**Total DFT energy (no corrections)**: -32.2 eV for the cell shown

Structure (CIF):
```
data_TiP3C
_chemical_formula_sum 'Ti1 P3 C1'
_cell_length_a 3.979
_cell_length_b 3.979
_cell_length_c 3.979
_cell_angle_alpha 90.00
_cell_angle_beta 90.00
_cell_angle_gamma 90.00
_symmetry_space_group_name_H-M 'P m -3 m'
_symmetry_Int_Tables_number 221
_symmetry_space_group_name_Hall '-P 4 2 3'
loop_
_atom_site_label
_atom_site_type_symbol
_atom_site_fract_x
_atom_site_fract_y
_atom_site_fract_z
Ti1 Ti 0.000 0.000 0.000
P1 P 0.000 0.500 0.500
C1 C 0.500 0.500 0.500
```



Among the records above, which one has the lowest total DFT energy (no corrections)?
NdP2H9O10